Entry 1:
The following is a DFT calculation (GGA-PBE) of a relaxed structure of CuAgF3.

Unit cell a=3.692 b=3.692 c=6.019 alpha=90.00 beta=90.00 gamma=90.00
Fractional coordinates of all 5 atoms:
Cu: 0.000 0.000 0.000
Ag: 0.500 0.500 0.604
F: 0.000 0.500 0.895
F: 0.500 0.000 0.895
F: 0.500 0.500 0.259

Values from the calculation:
- Fermi-level density of states (states/eV/f.u.) = 2.82
- DFT total energy (eV/cell) = -17.8
- distance to the lowest polymorph of the same formula (kJ/mol of formula units) = 124.3



Entry 2:
The following is a DFT calculation (GGA-PBE) of a relaxed structure of Ca2GaTeRh.

Unit cell a=5.441 b=5.441 c=4.747 alpha=90.00 beta=90.00 gamma=90.00
Fractional coordinates of all 5 atoms:
Ca: 0.000 0.500 0.000
Ca: 0.500 0.000 0.000
Ga: 0.000 0.000 0.500
Te: 0.500 0.500 0.500
Rh: 0.000 0.000 0.000

Values from the calculation:
- Fermi-level density of states (states/eV/f.u.) = 1.09
- DFT total energy (eV/cell) = -21.1



Entry 3:
The following is a DFT calculation (GGA-PBE) of a relaxed structure of TaAg8S6.

Unit cell a=7.754 b=7.524 c=10.849 alpha=90.00 beta=90.00 gamma=90.00
Fractional coordinates of all 30 atoms:
Ta: 0.000 0.238 0.000
Ta: 0.500 0.762 0.500
Ag: 0.000 0.794 0.956
Ag: 0.000 0.882 0.523
Ag: 0.196 0.976 0.750
Ag: 0.202 0.355 0.636
Ag: 0.202 0.391 0.342
Ag: 0.298 0.609 0.842
Ag: 0.298 0.645 0.136
Ag: 0.304 0.024 0.250
Ag: 0.500 0.118 0.023
Ag: 0.500 0.206 0.456
Ag: 0.696 0.024 0.250
Ag: 0.702 0.609 0.842
Ag: 0.702 0.645 0.136
Ag: 0.798 0.355 0.636
Ag: 0.798 0.391 0.342
Ag: 0.804 0.976 0.750
S: 0.000 0.219 0.484
S: 0.000 0.486 0.126
S: 0.000 0.689 0.730
S: 0.000 0.999 0.136
S: 0.249 0.254 0.882
S: 0.251 0.746 0.382
S: 0.500 0.001 0.636
S: 0.500 0.311 0.230
S: 0.500 0.514 0.626
S: 0.500 0.781 0.984
S: 0.749 0.746 0.382
S: 0.751 0.254 0.882

Values from the calculation:
- Fermi-level density of states (states/eV/f.u.) = 4.55
- DFT total energy (eV/cell) = -124.1



Entry 4:
The following is a DFT calculation (GGA-PBE) of a relaxed structure of Nb2IrRu.

Unit cell a=2.934 b=2.934 c=7.503 alpha=90.00 beta=90.00 gamma=90.00
Fractional coordinates of all 4 atoms:
Nb: 0.000 0.000 0.243
Nb: 0.000 0.000 0.757
Ir: 0.500 0.500 0.500
Ru: 0.500 0.500 0.000

Values from the calculation:
- formation energy (eV per atom) = -0.307
- Fermi-level density of states (states/eV/f.u.) = 5.61
- DFT total energy (eV/cell) = -39.5



Entry 5:
The following is a DFT calculation (GGA-PBE) of a relaxed structure of CsSb2.

Unit cell a=7.446 b=7.446 c=7.446 alpha=148.16 beta=148.16 gamma=45.66
Fractional coordinates of all 3 atoms:
Cs: 0.000 0.000 0.000
Sb: 0.289 0.289 0.000
Sb: 0.711 0.711 0.000

Values from the calculation:
- Fermi-level density of states (states/eV/f.u.) = 1.21
- DFT total energy (eV/cell) = -10.0



Entry 6:
The following is a DFT calculation (GGA-PBE) of a relaxed structure of Ce6In2N.

Unit cell a=6.902 b=6.902 c=6.902 alpha=60.00 beta=60.00 gamma=60.00
Fractional coordinates of all 9 atoms:
Ce: 0.249 0.249 0.751
Ce: 0.249 0.751 0.249
Ce: 0.249 0.751 0.751
Ce: 0.751 0.249 0.249
Ce: 0.751 0.249 0.751
Ce: 0.751 0.751 0.249
In: 0.250 0.250 0.250
In: 0.750 0.750 0.750
N: 0.000 0.000 0.000

Values from the calculation:
- Fermi-level density of states (states/eV/f.u.) = 22.93
- DFT total energy (eV/cell) = -53.9



Entry 7:
The following is a DFT calculation (GGA-PBE) of a relaxed structure of KRb2NaTe.

Unit cell a=7.086 b=7.086 c=6.737 alpha=90.00 beta=90.00 gamma=90.00
Fractional coordinates of all 5 atoms:
K: 0.000 0.000 0.000
Rb: 0.000 0.500 0.500
Rb: 0.500 0.000 0.500
Na: 0.500 0.500 0.000
Te: 0.000 0.000 0.500

Values from the calculation:
- Fermi-level density of states (states/eV/f.u.) = 0.54
- DFT total energy (eV/cell) = -10.0
- distance to the lowest polymorph of the same formula (kJ/mol of formula units) = 0.0



Entry 8:
The following is a DFT calculation (GGA-PBE) of a relaxed structure of LiEuTh.

Unit cell a=7.489 b=7.489 c=7.489 alpha=152.26 beta=152.26 gamma=39.63
Fractional coordinates of all 3 atoms:
Li: 0.000 0.000 0.000
Eu: 0.661 0.661 0.000
Th: 0.349 0.349 0.000

Values from the calculation:
- formation energy (eV per atom) = 0.213
- Fermi-level density of states (states/eV/f.u.) = 3.34
- DFT total energy (eV/cell) = -19.0
- distance to the lowest polymorph of the same formula (kJ/mol of formula units) = 5.4